Pm3PrNd2: optimized geometry, PBE.

Values from the calculation:
The energy is -4.6229 eV/atom. For the energy of formation, the calculation gives 0.14 eV per atom. As for the symmetry: No. 12. The magnetization is 0.00 μB per cell.

Structure (extended XYZ):
```
6
Lattice="9.1964 -1.7520 0.0000 9.1964 1.7520 0.0000 -1.5327 0.0000 6.5421" Properties=species:S:1:pos:R:3 pbc="T T T"
Pm 0.0000 0.0000 0.0000
Pm 2.6162 0.0000 2.3298
Pm 14.2440 0.0000 4.2123
Pr -0.7663 0.0000 3.2710
Nd 5.9836 0.0000 0.9624
Nd 10.8766 0.0000 5.5797
```

La4Sb3H2: optimized geometry, PBE.

Values from the calculation:
The energy is -5.2794 eV/atom. As for the symmetry: No. 15. The magnetization is 0.00 μB per cell.

Structure (extended XYZ):
```
18
Lattice="6.4456 -5.2135 0.0000 6.4456 5.2135 0.0000 -1.4046 0.0000 7.4776" Properties=species:S:1:pos:R:3 pbc="T T T"
La 3.7363 3.3342 7.2932
La 3.6986 0.7310 2.9271
La 7.0480 3.3342 3.9233
La 2.9963 -0.7310 6.6659
La 8.4903 0.7310 0.8117
La 4.4386 -3.3342 3.5543
La 7.7880 -0.7310 4.5505
La 7.7502 -3.3342 0.1845
Sb 1.0229 1.2431 4.7181
Sb 1.7252 -1.2431 0.9793
Sb 5.3922 1.1172 5.6082
Sb 6.0944 -1.1172 1.8694
Sb 9.7614 1.2431 6.4983
Sb 10.4637 -1.2431 2.7595
H 3.7622 1.3693 0.4994
H 3.0599 -1.3693 4.2382
H 8.4267 1.3693 3.2394
H 7.7244 -1.3693 6.9782
```

BiIrOsPd: optimized geometry, PBE.

Values from the calculation:
The energy is -6.8995 eV/atom. For the energy of formation, the calculation gives 0.39 eV per atom. As for the symmetry: No. 25. The magnetization is 0.00 μB per cell.

Structure (extended XYZ):
```
4
Lattice="2.9107 0.0000 0.0000 0.0000 3.6126 0.0000 0.0000 0.0000 6.9237" Properties=species:S:1:pos:R:3 pbc="T T T"
Bi 0.0000 0.0000 0.0000
Ir 0.0000 0.0000 3.3393
Os 1.4553 1.8063 2.1766
Pd 1.4553 1.8063 5.0030
```